No. 1
Computed, not measured: a relaxed structure of Hf3MnSe8 at the PBE level of DFT. Values from VASP.

The structure in Quantum ESPRESSO input format:
```
&SYSTEM
  ibrav = 0, nat = 12, ntyp = 3
/
ATOMIC_SPECIES
Se 78.96 Se.upf
Hf 178.49 Hf.upf
Mn 54.94 Mn.upf
CELL_PARAMETERS angstrom
-0.817 3.910 -6.246
-4.069 -6.085 1.123
-1.928 6.667 4.426
ATOMIC_POSITIONS crystal
Se 0.767 0.010 0.780
Se 0.767 0.533 0.780
Se 0.256 0.512 0.771
Se 0.233 0.467 0.220
Se 0.744 0.488 0.229
Se 0.757 0.990 0.220
Se 0.243 0.010 0.780
Hf 0.500 0.500 0.000
Se 0.233 0.990 0.220
Hf 0.000 0.500 0.000
Mn 0.000 0.000 0.000
Hf 0.500 0.000 0.000
```

## Properties
**Space group**: No. 12
**Formation energy from raw total energies**: -105.3 kJ per mole of atoms

***

No. 2
Computed, not measured: a relaxed structure of Ba2ZrAu at the PBE level of DFT. Values from VASP.

The structure in Quantum ESPRESSO input format:
```
&SYSTEM
  ibrav = 0, nat = 4, ntyp = 3
/
ATOMIC_SPECIES
Zr 91.22 Zr.upf
Au 196.97 Au.upf
Ba 137.33 Ba.upf
CELL_PARAMETERS angstrom
-3.678 -4.550 -0.354
0.213 -4.260 4.020
-4.339 -0.570 3.899
ATOMIC_POSITIONS crystal
Zr 0.000 0.000 0.000
Au 0.500 0.500 0.500
Ba 0.250 0.250 0.250
Ba 0.750 0.750 0.750
```

## Properties
**Formation enthalpy at 0 K**: 375 meV per atom
**Space group**: No. 225
**Excess energy over the best structure of this formula in the dataset**: 430.1 meV per atom

***

No. 3
Computed, not measured: a relaxed structure of BeNbAs2Br at the PBE level of DFT. Values from VASP.

The structure in Quantum ESPRESSO input format:
```
&SYSTEM
  ibrav = 0, nat = 5, ntyp = 4
/
ATOMIC_SPECIES
As 74.92 As.upf
Nb 92.91 Nb.upf
Be 9.01 Be.upf
Br 79.90 Br.upf
CELL_PARAMETERS angstrom
4.386 0.000 0.000
0.000 4.386 0.000
0.000 0.000 5.049
ATOMIC_POSITIONS crystal
As 0.000 0.500 0.000
As 0.500 0.000 0.000
Nb 0.500 0.500 0.500
Be 0.000 0.000 0.000
Br 0.000 0.000 0.500
```

## Properties
**Space group**: No. 123
**Formation energy from raw total energies**: 59.2 kJ per mole of atoms
**Excess energy over the best structure of this formula in the dataset**: 0.0 meV per atom

***

No. 4
Computed, not measured: a relaxed structure of HoAlFe at the PBE level of DFT. Values from VASP.

The structure in Quantum ESPRESSO input format:
```
&SYSTEM
  ibrav = 0, nat = 3, ntyp = 3
/
ATOMIC_SPECIES
Ho 164.93 Ho.upf
Fe 55.84 Fe.upf
Al 26.98 Al.upf
CELL_PARAMETERS angstrom
3.622 0.000 0.000
0.000 4.223 0.000
0.000 -2.112 3.658
ATOMIC_POSITIONS crystal
Ho 0.667 0.333 0.667
Fe 0.167 0.000 0.000
Al 0.167 0.667 0.333
```

## Properties
**Formation enthalpy at 0 K**: -101 meV per atom
**Space group**: No. 187

***

No. 5
Computed, not measured: a relaxed structure of SrSnBr6 at the PBE level of DFT. Values from VASP.

The structure in Quantum ESPRESSO input format:
```
&SYSTEM
  ibrav = 0, nat = 8, ntyp = 3
/
ATOMIC_SPECIES
Sr 87.62 Sr.upf
Br 79.90 Br.upf
Sn 118.71 Sn.upf
CELL_PARAMETERS angstrom
7.072 0.010 0.009
3.529 6.130 0.013
3.526 2.038 6.500
ATOMIC_POSITIONS crystal
Sr 0.500 0.500 0.500
Br 0.049 0.400 0.766
Br 0.400 0.784 0.766
Br 0.951 0.600 0.234
Br 0.600 0.216 0.234
Br 0.784 0.049 0.766
Br 0.216 0.951 0.234
Sn 0.000 0.000 0.000
```

## Properties
**Space group**: No. 148
**Formation energy from raw total energies**: -108.5 kJ per mole of atoms

***

No. 6
Computed, not measured: a relaxed structure of KTi3Mo at the PBE level of DFT. Values from VASP.

The structure in Quantum ESPRESSO input format:
```
&SYSTEM
  ibrav = 0, nat = 5, ntyp = 3
/
ATOMIC_SPECIES
Ti 47.87 Ti.upf
Mo 95.94 Mo.upf
K 39.10 K.upf
CELL_PARAMETERS angstrom
4.949 0.000 0.000
0.000 4.949 0.000
0.000 0.000 4.949
ATOMIC_POSITIONS crystal
Ti 0.000 0.500 0.000
Mo 0.000 0.000 0.000
Ti 0.500 0.000 0.000
K 0.500 0.500 0.500
Ti 0.000 0.000 0.500
```

## Properties
**Formation enthalpy at 0 K**: 913 meV per atom
**Space group**: No. 221
**Excess energy over the best structure of this formula in the dataset**: 0.0 meV per atom

***

No. 7
Computed, not measured: a relaxed structure of Tm2MgS4 at the PBE level of DFT. Values from VASP.

The structure in Quantum ESPRESSO input format:
```
&SYSTEM
  ibrav = 0, nat = 28, ntyp = 3
/
ATOMIC_SPECIES
Tm 168.93 Tm.upf
S 32.06 S.upf
Mg 24.30 Mg.upf
CELL_PARAMETERS angstrom
3.807 0.000 0.000
0.000 12.498 0.000
0.000 0.000 13.251
ATOMIC_POSITIONS crystal
Tm 0.750 0.383 0.576
S 0.750 0.760 0.483
S 0.250 0.028 0.883
Tm 0.750 0.861 0.295
Tm 0.750 0.883 0.924
Tm 0.250 0.639 0.795
Tm 0.750 0.361 0.205
S 0.250 0.990 0.383
S 0.250 0.528 0.617
Mg 0.250 0.887 0.549
Mg 0.250 0.387 0.951
S 0.250 0.740 0.983
S 0.750 0.275 0.749
S 0.250 0.725 0.251
Mg 0.750 0.113 0.451
S 0.750 0.972 0.117
S 0.750 0.010 0.617
S 0.750 0.510 0.883
S 0.750 0.775 0.751
S 0.750 0.472 0.383
Tm 0.250 0.617 0.424
Mg 0.750 0.613 0.049
S 0.250 0.490 0.117
S 0.250 0.225 0.249
S 0.750 0.260 0.017
Tm 0.250 0.139 0.705
S 0.250 0.240 0.517
Tm 0.250 0.117 0.076
```

## Properties
**Space group**: No. 62
**Formation energy from raw total energies**: -177.0 kJ per mole of atoms
**Excess energy over the best structure of this formula in the dataset**: 67.7 meV per atom

***

No. 8
Computed, not measured: a relaxed structure of KNp2Ni2S4 at the PBE level of DFT. Values from VASP.

The structure in Quantum ESPRESSO input format:
```
&SYSTEM
  ibrav = 0, nat = 9, ntyp = 4
/
ATOMIC_SPECIES
Np 237.00 Np.upf
S 32.06 S.upf
Ni 58.69 Ni.upf
K 39.10 K.upf
CELL_PARAMETERS angstrom
-1.013 -3.075 -1.778
7.448 -2.324 3.615
-8.100 0.737 3.338
ATOMIC_POSITIONS crystal
Np 0.096 0.192 0.626
S 0.497 0.994 0.296
S 0.762 0.523 0.817
S 0.238 0.477 0.183
Ni 0.314 0.627 0.029
S 0.503 0.006 0.704
K 0.000 0.000 0.000
Np 0.904 0.808 0.374
Ni 0.686 0.373 0.971
```

## Properties
**Space group**: No. 12
**Formation energy from raw total energies**: -85.2 kJ per mole of atoms

***

No. 9
Computed, not measured: a relaxed structure of La12Pm6In at the PBE level of DFT. Values from VASP.

The structure in Quantum ESPRESSO input format:
```
&SYSTEM
  ibrav = 0, nat = 19, ntyp = 3
/
ATOMIC_SPECIES
Pm 145.00 Pm.upf
La 138.91 La.upf
In 114.82 In.upf
CELL_PARAMETERS angstrom
-1.258 9.612 0.495
-1.653 -3.239 -8.999
-5.686 -4.561 6.410
ATOMIC_POSITIONS crystal
Pm 0.688 0.532 0.789
Pm 0.532 0.789 0.688
Pm 0.789 0.688 0.532
La 0.056 0.585 0.374
La 0.944 0.415 0.626
Pm 0.468 0.211 0.312
La 0.102 0.155 0.741
La 0.626 0.944 0.415
La 0.259 0.898 0.845
La 0.585 0.374 0.056
La 0.155 0.741 0.102
La 0.898 0.845 0.259
La 0.845 0.259 0.898
Pm 0.312 0.468 0.211
In 0.000 0.000 0.000
La 0.415 0.626 0.944
La 0.374 0.056 0.585
Pm 0.211 0.312 0.468
La 0.741 0.102 0.155
```

## Properties
**Formation enthalpy at 0 K**: -31 meV per atom
**Space group**: No. 148

***

No. 10
Computed, not measured: a relaxed structure of BaEuSnPb at the PBE level of DFT. Values from VASP.

The structure in Quantum ESPRESSO input format:
```
&SYSTEM
  ibrav = 0, nat = 4, ntyp = 4
/
ATOMIC_SPECIES
Pb 207.20 Pb.upf
Sn 118.71 Sn.upf
Eu 151.96 Eu.upf
Ba 137.33 Ba.upf
CELL_PARAMETERS angstrom
5.848 0.000 0.000
2.924 5.064 0.000
2.924 1.688 4.775
ATOMIC_POSITIONS crystal
Pb 0.750 0.750 0.750
Sn 0.250 0.250 0.250
Eu 0.000 0.000 0.000
Ba 0.500 0.500 0.500
```

## Properties
**Formation enthalpy at 0 K**: -507 meV per atom
**Space group**: No. 216

***

No. 11
Computed, not measured: a relaxed structure of U4MnOs at the PBE level of DFT. Values from VASP.

The structure in Quantum ESPRESSO input format:
```
&SYSTEM
  ibrav = 0, nat = 12, ntyp = 3
/
ATOMIC_SPECIES
U 238.03 U.upf
Mn 54.94 Mn.upf
Os 190.23 Os.upf
CELL_PARAMETERS angstrom
-5.268 -0.857 -1.434
2.587 -3.920 -3.287
-3.759 -4.191 5.559
ATOMIC_POSITIONS crystal
U 0.634 0.026 0.332
U 0.031 0.581 0.347
Mn 0.000 0.000 0.500
Os 0.020 0.743 0.972
U 0.366 0.974 0.668
U 0.537 0.516 0.165
U 0.969 0.419 0.653
Os 0.980 0.257 0.028
U 0.678 0.926 0.836
U 0.322 0.074 0.164
U 0.463 0.484 0.835
Mn 0.500 0.500 0.500
```

## Properties
**Formation enthalpy at 0 K**: 76 meV per atom
**Space group**: No. 2

***

No. 12
Computed, not measured: a relaxed structure of K2TlSiPt at the PBE level of DFT. Values from VASP.

The structure in Quantum ESPRESSO input format:
```
&SYSTEM
  ibrav = 0, nat = 5, ntyp = 4
/
ATOMIC_SPECIES
K 39.10 K.upf
Tl 204.38 Tl.upf
Pt 195.08 Pt.upf
Si 28.09 Si.upf
CELL_PARAMETERS angstrom
6.263 0.000 0.000
0.000 4.555 0.000
0.000 0.000 6.263
ATOMIC_POSITIONS crystal
K 0.000 0.000 0.500
Tl 0.500 0.500 0.500
Pt 0.000 0.000 0.000
K 0.500 0.000 0.000
Si 0.000 0.500 0.000
```

## Properties
**Space group**: No. 123
**Formation energy from raw total energies**: -4.9 kJ per mole of atoms

***

no.,total magnetic moment (μB/f.u.)
1,3.1
2,4.4
3,2.3
4,0.0
5,0.0
6,1.2
7,0.0
8,2.8
9,0.0
10,7.1
11,0.0
12,0.0